one) Here is a relaxed Eu2Mn2O5 crystal from the Alexandria database. Energies are from GGA+U.

Values from the calculation:
DOS(E_F)	22.524	states/eV/f.u.

Cell lengths 15.789, 5.713, 5.510 Å; angles 90.00, 90.00, 90.00 degrees
Space group Ima2 (No. 46)
Inequivalent atoms, fractional coordinates:
Eu (0.111, 0.021, 0.000) x8
Mn (0.000, 0.000, 0.513) x4
Mn (0.250, 0.557, 0.970) x4
O (0.014, 0.745, 0.760) x8
O (0.133, 0.068, 0.543) x8
O (0.250, 0.597, 0.590) x4

=====

two) Here is a relaxed Eu2Mn2O5 crystal from the Alexandria database. Energies are from GGA+U.

Values from the calculation:
DOS(E_F)	20.223	states/eV/f.u.

Cell lengths 3.958, 3.958, 7.688 Å; angles 90.00, 90.00, 90.00 degrees
Space group P4/mmm (No. 123)
Inequivalent atoms, fractional coordinates:
Eu (0.000, 0.000, 0.000) x1
Eu (0.000, 0.000, 0.500) x1
Mn (0.500, 0.500, 0.238) x2
O (0.000, 0.500, 0.204) x4
O (0.500, 0.500, 0.500) x1

=====

Stability ranking, top entry: one); the second entry is 60 meV/atom less favorable.